{
  "formula": "Ho2LuMg",
  "functional": "PBE",
  "state": "optimized geometry",
  "lattice": [[5.4389, 0.0000, 0.0000], [2.7194, 4.7102, 0.0000], [2.7194, 1.5701, 4.4408]],
  "species": ["Lu", "Ho", "Ho", "Mg"],
  "fractional_positions": [[0.0000, 0.0000, 0.0000], [0.7500, 0.7500, 0.7500], [0.2500, 0.2500, 0.2500], [0.5000, 0.5000, 0.5000]],
  "e_above_lowest_polymorph_mev_per_atom": 53,
  "rho_g_cm3": 7.7,
  "e_form_ev_per_atom": 0.03,
  "total_magnetization_mub_per_cell": 0.0
}